In2RePt: optimized geometry, GGA-PBE.

Values from the calculation:
magnetic moment = 0.435 μB per atom
formation enthalpy at 0 K = 0.649 eV/atom
E above lowest polymorph = 493 meV per atom
volume = 20.14 A^3/atom

Geometry as CIF:
```
data_In2RePt
_space_group_name_H-M_alt 'I -4 2 d'
_space_group_IT_number 122
_space_group_name_Hall 'I -4 2bw'
_cell_length_a 7.4864
_cell_length_b 7.4864
_cell_length_c 5.7509
_cell_angle_alpha 90.00
_cell_angle_beta 90.00
_cell_angle_gamma 90.00
loop_
_atom_site_label
_atom_site_fract_x
_atom_site_fract_y
_atom_site_fract_z
In1 0.2384 0.2500 0.1250
Re1 0.0000 0.0000 0.5000
Pt1 0.0000 0.0000 0.0000
```



Ti2FeH: optimized geometry, GGA-PBE.

Values from the calculation:
magnetic moment = 0.001 μB per atom
E above lowest polymorph = 105 meV per atom
volume = 11.45 A^3/atom

Geometry as CIF:
```
data_Ti2FeH
_space_group_name_H-M_alt 'P 4/m m m'
_space_group_IT_number 123
_space_group_name_Hall '-P 4 2'
_cell_length_a 2.7965
_cell_length_b 2.7965
_cell_length_c 5.8563
_cell_angle_alpha 90.00
_cell_angle_beta 90.00
_cell_angle_gamma 90.00
loop_
_atom_site_label
_atom_site_fract_x
_atom_site_fract_y
_atom_site_fract_z
Ti1 0.0000 0.0000 0.2338
Fe1 0.5000 0.5000 0.5000
H1 0.5000 0.5000 0.0000
```



CdReHg2: optimized geometry, GGA-PBE.

Values from the calculation:
magnetic moment = 0.442 μB per atom
formation enthalpy at 0 K = 0.874 eV/atom
volume = 19.73 A^3/atom

Geometry as CIF:
```
data_CdReHg2
_space_group_name_H-M_alt 'I 4/m m m'
_space_group_IT_number 139
_space_group_name_Hall '-I 4 2'
_cell_length_a 4.2406
_cell_length_b 4.2406
_cell_length_c 8.7792
_cell_angle_alpha 90.00
_cell_angle_beta 90.00
_cell_angle_gamma 90.00
loop_
_atom_site_label
_atom_site_fract_x
_atom_site_fract_y
_atom_site_fract_z
Cd1 0.0000 0.0000 0.0000
Re1 0.0000 0.0000 0.5000
Hg1 0.0000 0.5000 0.2500
```



Sm2Tm2Tl3: optimized geometry, GGA-PBE.

Values from the calculation:
magnetic moment = 0.000 μB per atom
formation enthalpy at 0 K = -0.175 eV/atom
E above lowest polymorph = 42 meV per atom
volume = 29.84 A^3/atom

Geometry as CIF:
```
data_Sm2Tm2Tl3
_space_group_name_H-M_alt 'P -1'
_space_group_IT_number 2
_space_group_name_Hall '-P 1'
_cell_length_a 3.7347
_cell_length_b 7.0383
_cell_length_c 8.8742
_cell_angle_alpha 69.01
_cell_angle_beta 89.95
_cell_angle_gamma 74.63
loop_
_atom_site_label
_atom_site_fract_x
_atom_site_fract_y
_atom_site_fract_z
Sm1 0.1119 0.2776 0.4422
Tm1 0.3781 0.7462 0.1805
Tl1 0.0000 0.5000 0.0000
Tl2 0.3014 0.8949 0.7884
```



Pm2Ni5Pt: optimized geometry, GGA-PBE.

Values from the calculation:
magnetic moment = 0.000 μB per atom
formation enthalpy at 0 K = -0.260 eV/atom
volume = 15.86 A^3/atom

Geometry as CIF:
```
data_Pm2Ni5Pt
_space_group_name_H-M_alt 'I 4 m m'
_space_group_IT_number 107
_space_group_name_Hall 'I 4 -2'
_cell_length_a 5.8211
_cell_length_b 5.8211
_cell_length_c 7.4900
_cell_angle_alpha 90.00
_cell_angle_beta 90.00
_cell_angle_gamma 90.00
loop_
_atom_site_label
_atom_site_fract_x
_atom_site_fract_y
_atom_site_fract_z
Pm1 0.0000 0.5000 0.0000
Ni1 0.0000 0.0000 0.4054
Ni2 0.2202 0.2202 0.7495
Pt1 0.0000 0.0000 0.0375
```



BTe3Ru: optimized geometry, GGA-PBE.

Values from the calculation:
magnetic moment = 0.000 μB per atom
E above lowest polymorph = 253 meV per atom
uncorrected formation energy = 1.3436 eV per atom
volume = 28.25 A^3/atom

Geometry as CIF:
```
data_BTe3Ru
_space_group_name_H-M_alt 'P m -3 m'
_space_group_IT_number 221
_space_group_name_Hall '-P 4 2 3'
_cell_length_a 5.2080
_cell_length_b 5.2080
_cell_length_c 5.2080
_cell_angle_alpha 90.00
_cell_angle_beta 90.00
_cell_angle_gamma 90.00
loop_
_atom_site_label
_atom_site_fract_x
_atom_site_fract_y
_atom_site_fract_z
B1 0.0000 0.0000 0.0000
Te1 0.0000 0.5000 0.5000
Ru1 0.5000 0.5000 0.5000
```



Question: Among the records above, which one has the lowest volume?
Answer: Ti2FeH